VASP calculation (PBE with a Hubbard U) on an optimized crystal structure of Li2MnSiO4.

- M_tot: 0.625 μB/atom
- E above lowest polymorph: 57 meV per atom
- E_tot: -6.8539 eV/atom

Cell lengths 5.043, 5.043, 11.831 Å; angles 90.00, 90.00, 120.00 degrees
Last column: magnetic moment on the atom in μB.
Sites, in units of the cell vectors:
Li 0.561 0.886 0.747  0.00
Li 0.325 0.439 0.414  0.00
Li 0.114 0.675 0.080  0.00
Li 0.675 0.114 0.253  0.00
Li 0.886 0.561 0.586  0.00
Li 0.439 0.325 0.920  0.00
Mn 0.457 0.457 0.167  4.63
Mn 0.000 0.543 0.833  4.63
Mn 0.543 0.000 0.500  4.63
Si 0.201 0.201 0.667  0.01
Si 0.799 0.000 0.000  0.01
Si 0.000 0.799 0.333  0.01
O 0.704 0.843 0.365  0.03
O 0.139 0.296 0.032  0.03
O 0.861 0.157 0.635  0.03
O 0.157 0.861 0.698  0.03
O 0.843 0.704 0.968  0.03
O 0.296 0.139 0.302  0.03
O 0.341 0.437 0.775  0.03
O 0.563 0.903 0.109  0.03
O 0.097 0.659 0.442  0.03
O 0.903 0.563 0.225  0.03
O 0.659 0.097 0.891  0.03
O 0.437 0.341 0.558  0.03